Entry 1:
4
Lattice="3.840 -2.215 0.000 3.840 2.215 0.000 -2.533 0.000 5.433" Properties=species:S:1:pos:R:3 comment="CaAl2Ag | the Alexandria database | PBE | optimized geometry" e_form_ev_per_atom=-0.20 spacegroup="Cm (8)" pbc="T T T"
Ca 0.000 0.000 0.000
Al 0.014 0.000 3.374
Al 2.570 0.000 2.110
Ag 5.130 0.000 2.275

=====

Entry 2:
11
Lattice="-3.988 3.988 3.988 3.988 -3.988 3.988 3.988 3.988 -3.988" Properties=species:S:1:pos:R:3 comment="Ca3Al4Ag4 | the Alexandria database | PBE | optimized geometry" e_form_ev_per_atom=-0.24 spacegroup="I-43m (217)" pbc="T T T"
Ca 3.988 0.000 0.000
Ca 0.000 3.988 0.000
Ca 0.000 0.000 3.988
Al 2.994 2.994 -2.994
Al 2.994 -2.994 2.994
Al 0.994 0.994 0.994
Al -2.994 2.994 2.994
Ag 1.559 1.559 -1.559
Ag 1.559 -1.559 1.559
Ag -1.559 1.559 1.559
Ag 2.430 2.430 2.430

=====

Entry 3:
4
Lattice="-2.413 2.413 3.449 2.413 -2.413 3.449 2.413 2.413 -3.449" Properties=species:S:1:pos:R:3 comment="CaAl2Ag | the Alexandria database | PBE | optimized geometry" e_form_ev_per_atom=-0.13 spacegroup="I-4m2 (119)" pbc="T T T"
Ca 0.000 0.000 0.000
Al 0.000 0.000 3.449
Al 0.000 2.413 1.725
Ag 2.413 0.000 1.725

=====

Entry 4:
9
Lattice="4.634 0.000 0.000 0.000 4.634 0.000 0.000 0.000 8.917" Properties=species:S:1:pos:R:3 comment="Ca2Al2Ag5 | the Alexandria database | PBE | optimized geometry" e_form_ev_per_atom=-0.21 spacegroup="P4/mmm (123)" pbc="T T T"
Ca 0.000 0.000 0.000
Ca 0.000 0.000 4.459
Al 2.317 2.317 1.312
Al 2.317 2.317 7.605
Ag 0.000 2.317 2.474
Ag 0.000 2.317 6.444
Ag 2.317 0.000 2.474
Ag 2.317 0.000 6.444
Ag 2.317 2.317 4.459

=====

Entry 5:
8
Lattice="4.288 0.000 0.000 0.000 4.288 0.000 0.000 0.000 9.359" Properties=species:S:1:pos:R:3 comment="CaAlAg6 | the Alexandria database | PBE | optimized geometry" e_form_ev_per_atom=-0.02 spacegroup="P4/mmm (123)" pbc="T T T"
Ca 0.000 0.000 0.000
Al 0.000 0.000 4.680
Ag 0.000 2.144 3.146
Ag 0.000 2.144 6.213
Ag 2.144 0.000 3.146
Ag 2.144 0.000 6.213
Ag 2.144 2.144 1.331
Ag 2.144 2.144 8.028

=====

Entry 6:
4
Lattice="1.656 0.956 9.186 -1.656 0.956 9.186 0.000 -1.912 9.186" Properties=species:S:1:pos:R:3 comment="CaAl2Ag | the Alexandria database | PBE | optimized geometry" e_form_ev_per_atom=0.07 spacegroup="R-3m (166)" pbc="T T T"
Ca 0.000 0.000 0.000
Al 0.000 0.000 6.611
Al 0.000 0.000 20.946
Ag 0.000 0.000 13.778

=====

Which V belongs to each record? In order, 23.1 23.1 20.1 21.3 21.5 21.8 A^3/atom.